No. 1
First-principles (PBE) data for a geometry-optimized Rb2TeAsBr6 structure, as listed in Alexandria.

## Properties
uncorrected formation energy	-0.814	eV per atom
density	3885	kg/m³

Unit cell a=8.057 b=8.057 c=11.234 alpha=90.00 beta=90.00 gamma=90.00
Space group I4/mmm (No. 139)
One atom of each set of equivalent atoms:
Rb: 0.000 0.500 0.250 (multiplicity 4)
Te: 0.000 0.000 0.000 (multiplicity 2)
As: 0.000 0.000 0.500 (multiplicity 2)
Br: 0.000 0.000 0.259 (multiplicity 4)
Br: 0.237 0.237 0.500 (multiplicity 8)


No. 2
First-principles (PBE) data for a geometry-optimized RbTeAsBr2 structure, as listed in Alexandria.

## Properties
uncorrected formation energy	0.494	eV per atom
polymorph energy (0 for the lowest one)	878	meV/atom
density	2768	kg/m³

Unit cell a=6.322 b=6.322 c=6.721 alpha=90.00 beta=90.00 gamma=90.00
Space group P4/mmm (No. 123)
One atom of each set of equivalent atoms:
Rb: 0.000 0.000 0.000 (multiplicity 1)
Te: 0.500 0.500 0.500 (multiplicity 1)
As: 0.000 0.000 0.500 (multiplicity 1)
Br: 0.000 0.500 0.000 (multiplicity 2)


No. 3
First-principles (PBE) data for a geometry-optimized RbTeAs2Br structure, as listed in Alexandria.

## Properties
uncorrected formation energy	0.069	eV per atom
polymorph energy (0 for the lowest one)	0	meV/atom
density	3951	kg/m³

Unit cell a=5.356 b=5.356 c=6.489 alpha=90.00 beta=90.00 gamma=90.00
Space group P4/mmm (No. 123)
One atom of each set of equivalent atoms:
Rb: 0.000 0.000 0.000 (multiplicity 1)
Te: 0.500 0.500 0.500 (multiplicity 1)
As: 0.000 0.500 0.500 (multiplicity 2)
Br: 0.500 0.500 0.000 (multiplicity 1)


No. 4
First-principles (PBE) data for a geometry-optimized Rb2TiAsBr6 structure, as listed in Alexandria.

## Properties
uncorrected formation energy	-1.019	eV per atom
density	3657	kg/m³

Unit cell a=7.496 b=7.496 c=12.494 alpha=90.00 beta=90.00 gamma=90.00
Space group I4/mmm (No. 139)
One atom of each set of equivalent atoms:
Rb: 0.000 0.500 0.250 (multiplicity 4)
Ti: 0.000 0.000 0.000 (multiplicity 2)
As: 0.000 0.000 0.500 (multiplicity 2)
Br: 0.000 0.000 0.207 (multiplicity 4)
Br: 0.248 0.248 0.000 (multiplicity 8)


No. 5
First-principles (PBE) data for a geometry-optimized RbTlAsBr2 structure, as listed in Alexandria.

## Properties
uncorrected formation energy	-0.482	eV per atom
polymorph energy (0 for the lowest one)	0	meV/atom
density	4216	kg/m³

Unit cell a=6.138 b=6.138 c=5.484 alpha=90.00 beta=90.00 gamma=90.00
Space group P4/mmm (No. 123)
One atom of each set of equivalent atoms:
Rb: 0.000 0.000 0.000 (multiplicity 1)
Tl: 0.500 0.500 0.500 (multiplicity 1)
As: 0.500 0.500 0.000 (multiplicity 1)
Br: 0.000 0.500 0.500 (multiplicity 2)


No. 6
First-principles (PBE) data for a geometry-optimized RbTlAsBr2 structure, as listed in Alexandria.

## Properties
uncorrected formation energy	-0.093	eV per atom
polymorph energy (0 for the lowest one)	389	meV/atom
density	3264	kg/m³

Unit cell a=6.457 b=6.457 c=6.401 alpha=90.00 beta=90.00 gamma=90.00
Space group P4/mmm (No. 123)
One atom of each set of equivalent atoms:
Rb: 0.000 0.000 0.000 (multiplicity 1)
Tl: 0.500 0.500 0.500 (multiplicity 1)
As: 0.000 0.000 0.500 (multiplicity 1)
Br: 0.000 0.500 0.000 (multiplicity 2)


No. 7
First-principles (PBE) data for a geometry-optimized Rb2TlAsBr structure, as listed in Alexandria.

## Properties
uncorrected formation energy	-0.198	eV per atom
density	3987	kg/m³

Unit cell a=6.320 b=6.320 c=5.527 alpha=90.00 beta=90.00 gamma=90.00
Space group P4/mmm (No. 123)
One atom of each set of equivalent atoms:
Rb: 0.000 0.500 0.000 (multiplicity 2)
Tl: 0.000 0.000 0.500 (multiplicity 1)
As: 0.500 0.500 0.500 (multiplicity 1)
Br: 0.500 0.500 0.000 (multiplicity 1)


No. 8
First-principles (PBE) data for a geometry-optimized Rb2VAsBr6 structure, as listed in Alexandria.

## Properties
uncorrected formation energy	-0.835	eV per atom
density	3803	kg/m³

Unit cell a=7.497 b=7.497 c=12.060 alpha=90.00 beta=90.00 gamma=90.00
Space group I4/mmm (No. 139)
One atom of each set of equivalent atoms:
Rb: 0.000 0.500 0.250 (multiplicity 4)
V: 0.000 0.000 0.000 (multiplicity 2)
As: 0.000 0.000 0.500 (multiplicity 2)
Br: 0.000 0.000 0.211 (multiplicity 4)
Br: 0.245 0.245 0.000 (multiplicity 8)